The following is a DFT calculation (PBE-GGA) of a relaxed EuGdEr2 crystal.

The structure belongs to space group P4/mmm (No. 123); the cell edges are 5.856, 5.856 and 3.864 Å and the angles 90.00°, 90.00° and 90.00°. The distinct sites, in fractional coordinates, are Eu at (0.000, 0.000, 0.000), Gd at (0.500, 0.500, 0.000) and Er at (0.000, 0.500, 0.500).

The crystal system is tetragonal. As for the relative energy among the computed polymorphs: 0.000 eV per atom. The value obtained for the density of states at the Fermi level is 7.0 states/eV per cell. As for the total energy: -32.917 eV/cell.

The following is a DFT calculation (PBE-GGA) of a relaxed EuGdEr crystal.

The structure belongs to space group I4mm (No. 107); the cell edges are 3.638, 3.638 and 15.497 Å and the angles 90.00°, 90.00° and 90.00°. The distinct sites, in fractional coordinates, are Eu at (0.000, 0.000, 0.000), Gd at (0.000, 0.000, 0.325) and Er at (0.000, 0.000, 0.674).

The crystal system is tetragonal. As for the relative energy among the computed polymorphs: 0.014 eV per atom. The value obtained for the density of states at the Fermi level is 9.2 states/eV per cell. As for the total energy: -57.430 eV/cell.

The following is a DFT calculation (PBE-GGA) of a relaxed EuGdEr crystal.

The structure belongs to space group P3m1 (No. 156); the cell edges are 3.6412, 3.6412 and 8.8812 Å and the angles 90.00°, 90.00° and 120.00°. The distinct sites, in fractional coordinates, are Eu at (0.0000, 0.0000, 0.0000), Gd at (0.6667, 0.3333, 0.6480) and Er at (0.3333, 0.6667, 0.3381).

The crystal system is trigonal. As for the relative energy among the computed polymorphs: 0.000 eV per atom. The value obtained for the density of states at the Fermi level is 3.6 states/eV per cell. As for the total energy: -28.756 eV/cell.

The following is a DFT calculation (PBE-GGA) of a relaxed EuGdEr2 crystal.

The structure belongs to space group Fm-3m (No. 225); the cell edges are 8.082, 8.082 and 8.082 Å and the angles 90.00°, 90.00° and 90.00°. The distinct sites, in fractional coordinates, are Eu at (0.000, 0.000, 0.000), Gd at (0.000, 0.000, 0.500) and Er at (0.250, 0.250, 0.250).

The crystal system is cubic. As for the relative energy among the computed polymorphs: 0.008 eV per atom. The value obtained for the density of states at the Fermi level is 28.4 states/eV per cell. As for the total energy: -131.537 eV/cell.